# Cs3Li2ScI9, relaxed, DFT PBE
data_Cs3Li2ScI9
_symmetry_space_group_name_H-M 'P 1'
_symmetry_Int_Tables_number 1
_cell_length_a 8.3625
_cell_length_b 8.3625
_cell_length_c 10.3923
_cell_angle_alpha 90.00
_cell_angle_beta 90.00
_cell_angle_gamma 120.00
loop_
_symmetry_equiv_pos_as_xyz
'x,y,z'
loop_
_atom_site_label
_atom_site_fract_x
_atom_site_fract_y
_atom_site_fract_z
Cs1 0.3333 0.6667 0.6731
Cs2 0.0000 0.0000 0.0000
Cs3 0.6667 0.3333 0.3269
Li1 0.3333 0.6667 0.1409
Li2 0.6667 0.3333 0.8591
Sc1 0.0000 0.0000 0.5000
I1 0.8365 0.1635 0.6605
I2 0.8365 0.6729 0.6605
I3 0.3271 0.1635 0.6605
I4 0.6729 0.8365 0.3395
I5 0.1635 0.3271 0.3395
I6 0.1635 0.8365 0.3395
I7 0.5000 0.0000 0.0000
I8 0.0000 0.5000 0.0000
I9 0.5000 0.5000 0.0000
# **SG**: P-3m1 (164)
# **Calculated density**: 4.22 g/cm3
# **E_tot**: -45.2 eV/f.u.

---

# DyAl2Os, relaxed, DFT PBE
data_DyAl2Os
_symmetry_space_group_name_H-M 'P 1'
_symmetry_Int_Tables_number 1
_cell_length_a 3.1451
_cell_length_b 3.1451
_cell_length_c 7.2547
_cell_angle_alpha 90.00
_cell_angle_beta 90.00
_cell_angle_gamma 90.00
loop_
_symmetry_equiv_pos_as_xyz
'x,y,z'
loop_
_atom_site_label
_atom_site_fract_x
_atom_site_fract_y
_atom_site_fract_z
Os1 0.5000 0.5000 0.0000
Al1 0.0000 0.0000 0.8123
Al2 0.0000 0.0000 0.1877
Dy1 0.5000 0.5000 0.5000
# **SG**: P4/mmm (123)
# **Energy of formation**: -0.3833 eV per atom
# **Calculated density**: 9.41 g/cm3

---

# Mn2ZnSi, relaxed, DFT PBE
data_Mn2ZnSi
_symmetry_space_group_name_H-M 'P 1'
_symmetry_Int_Tables_number 1
_cell_length_a 4.3613
_cell_length_b 4.3613
_cell_length_c 4.6666
_cell_angle_alpha 78.43
_cell_angle_beta 78.43
_cell_angle_gamma 34.66
loop_
_symmetry_equiv_pos_as_xyz
'x,y,z'
loop_
_atom_site_label
_atom_site_fract_x
_atom_site_fract_y
_atom_site_fract_z
Mn1 0.0103 0.0103 0.9897
Mn2 0.4897 0.4897 0.5103
Si1 0.7500 0.7500 0.7500
Zn1 0.2500 0.2500 0.2500
# **SG**: C2/m (12)
# **Calculated density**: 6.84 g/cm3
# **E_tot**: -24.9 eV/f.u.

---

# ScZn4Os, relaxed, DFT PBE
data_ScZn4Os
_symmetry_space_group_name_H-M 'P 1'
_symmetry_Int_Tables_number 1
_cell_length_a 4.9904
_cell_length_b 4.9904
_cell_length_c 4.9904
_cell_angle_alpha 60.00
_cell_angle_beta 60.00
_cell_angle_gamma 60.00
loop_
_symmetry_equiv_pos_as_xyz
'x,y,z'
loop_
_atom_site_label
_atom_site_fract_x
_atom_site_fract_y
_atom_site_fract_z
Os1 0.2500 0.2500 0.2500
Sc1 0.0000 0.0000 0.0000
Zn1 0.1278 0.6241 0.6241
Zn2 0.6241 0.6241 0.6241
Zn3 0.6241 0.1278 0.6241
Zn4 0.6241 0.6241 0.1278
# **SG**: F-43m (216)
# **Energy of formation**: -0.2122 eV per atom
# **Calculated density**: 9.39 g/cm3

---

# CaPm12Rh7, relaxed, DFT PBE
data_CaPm12Rh7
_symmetry_space_group_name_H-M 'P 1'
_symmetry_Int_Tables_number 1
_cell_length_a 8.9619
_cell_length_b 8.9619
_cell_length_c 8.9619
_cell_angle_alpha 107.14
_cell_angle_beta 107.14
_cell_angle_gamma 107.14
loop_
_symmetry_equiv_pos_as_xyz
'x,y,z'
loop_
_atom_site_label
_atom_site_fract_x
_atom_site_fract_y
_atom_site_fract_z
Ca1 0.0000 0.0000 0.0000
Pm1 0.9243 0.3058 0.7763
Pm2 0.6942 0.2237 0.0757
Pm3 0.4629 0.1575 0.3824
Pm4 0.8425 0.6176 0.5371
Pm5 0.2237 0.0757 0.6942
Pm6 0.6176 0.5371 0.8425
Pm7 0.3824 0.4629 0.1575
Pm8 0.7763 0.9243 0.3058
Pm9 0.1575 0.3824 0.4629
Pm10 0.5371 0.8425 0.6176
Pm11 0.3058 0.7763 0.9243
Pm12 0.0757 0.6942 0.2237
Rh1 0.9599 0.6392 0.8744
Rh2 0.3608 0.1256 0.0401
Rh3 0.1256 0.0401 0.3608
Rh4 0.5000 0.5000 0.5000
Rh5 0.8744 0.9599 0.6392
Rh6 0.6392 0.8744 0.9599
Rh7 0.0401 0.3608 0.1256
# **SG**: R-3 (148)
# **Energy of formation**: -0.4416 eV per atom
# **Calculated density**: 6.95 g/cm3

---

# AcBi2PAu2, relaxed, DFT PBE
data_AcBi2PAu2
_symmetry_space_group_name_H-M 'P 1'
_symmetry_Int_Tables_number 1
_cell_length_a 5.6868
_cell_length_b 5.6868
_cell_length_c 6.9711
_cell_angle_alpha 114.07
_cell_angle_beta 114.07
_cell_angle_gamma 90.00
loop_
_symmetry_equiv_pos_as_xyz
'x,y,z'
loop_
_atom_site_label
_atom_site_fract_x
_atom_site_fract_y
_atom_site_fract_z
Ac1 0.5000 0.5000 0.0000
Bi1 0.2500 0.7500 0.5000
Bi2 0.7500 0.2500 0.5000
P1 0.0000 0.0000 0.0000
Au1 0.7912 0.7912 0.5824
Au2 0.2088 0.2088 0.4176
# **SG**: I4/mmm (139)
# **Energy of formation**: 0.0016 eV per atom
# **Calculated density**: 9.65 g/cm3

---

# Ti3InMo, relaxed, DFT PBE
data_Ti3InMo
_symmetry_space_group_name_H-M 'P 1'
_symmetry_Int_Tables_number 1
_cell_length_a 4.7686
_cell_length_b 4.7686
_cell_length_c 4.7686
_cell_angle_alpha 90.00
_cell_angle_beta 90.00
_cell_angle_gamma 90.00
loop_
_symmetry_equiv_pos_as_xyz
'x,y,z'
loop_
_atom_site_label
_atom_site_fract_x
_atom_site_fract_y
_atom_site_fract_z
Mo1 0.0000 0.0000 0.0000
Ti1 0.0000 0.5000 0.0000
Ti2 0.0000 0.0000 0.5000
Ti3 0.5000 0.0000 0.0000
In1 0.5000 0.5000 0.5000
# **SG**: Pm-3m (221)
# **Offset from the most stable computed form**: 628.6 meV/atom
# **Energy of formation**: 0.6273 eV per atom
# **Calculated density**: 5.43 g/cm3

---

# ScPRuS2, relaxed, DFT PBE
data_ScPRuS2
_symmetry_space_group_name_H-M 'P 1'
_symmetry_Int_Tables_number 1
_cell_length_a 4.7948
_cell_length_b 4.3163
_cell_length_c 4.7948
_cell_angle_alpha 90.00
_cell_angle_beta 90.00
_cell_angle_gamma 90.00
loop_
_symmetry_equiv_pos_as_xyz
'x,y,z'
loop_
_atom_site_label
_atom_site_fract_x
_atom_site_fract_y
_atom_site_fract_z
Sc1 0.5000 0.5000 0.5000
Ru1 0.0000 0.0000 0.0000
S1 0.0000 0.0000 0.5000
S2 0.5000 0.0000 0.0000
P1 0.0000 0.5000 0.0000
# **SG**: P4/mmm (123)
# **Offset from the most stable computed form**: 0.0 meV/atom
# **Calculated density**: 4.03 g/cm3

---

Question: Which of these has the lowest calculated density?
Answer: ScPRuS2

---

Question: Among the records above, which one has the highest calculated density?
Answer: AcBi2PAu2

---

Question: Among the records above, which one has the highest calculated density?
Answer: AcBi2PAu2